## Pr8CuIr3I4 (PBE)

Data for a relaxed Pr8CuIr3I4 crystal.

Unit cell a=9.5396 b=9.5396 c=9.5396 alpha=52.98 beta=52.98 gamma=52.98
With the nearest neighbours (Å) after each atom.
Element x y z (fractional)
Pr 0.2205 0.7326 0.7326  2 Ir 2.86, 1 Cu 2.94
Pr 0.2288 0.2288 0.2288  3 Ir 2.89
Pr 0.2674 0.2674 0.7795  2 Ir 2.86, 1 Cu 2.94
Pr 0.2674 0.7795 0.2674  2 Ir 2.86, 1 Cu 2.94
Pr 0.7326 0.2205 0.7326  2 Ir 2.86, 1 Cu 2.94
Pr 0.7326 0.7326 0.2205  2 Ir 2.86, 1 Cu 2.94
Pr 0.7712 0.7712 0.7712  3 Ir 2.89
Pr 0.7795 0.2674 0.2674  2 Ir 2.86, 1 Cu 2.94
Cu 0.5000 0.5000 0.5000  6 Pr 2.94
Ir 0.0000 0.0000 0.5000  6 Pr 2.86-2.89
Ir 0.0000 0.5000 0.0000  6 Pr 2.86-2.89
Ir 0.5000 0.0000 0.0000  6 Pr 2.86-2.89
I 0.0000 0.0000 0.0000  6 Pr 3.51
I 0.0000 0.5000 0.5000  6 Pr 3.55-3.58
I 0.5000 0.0000 0.5000  6 Pr 3.55-3.58
I 0.5000 0.5000 0.0000  6 Pr 3.55-3.58

Results
- energy relative to the elements, uncorrected (eV per atom) = -0.858
- SG = R-3m (166)